# 1
{"formula": "TeHPd2Pt", "functional": "PBE", "state": "relaxed", "dft_energy_ev_per_atom": -4.6335, "lattice": [[4.321, 0.000, 0.000], [0.000, 4.321, 0.000], [0.000, 0.000, 3.891]], "species": ["Te", "H", "Pd", "Pd", "Pt"], "frac_coords": [[0.000, 0.000, 0.000], [0.500, 0.500, 0.500], [0.000, 0.500, 0.500], [0.500, 0.000, 0.500], [0.500, 0.500, 0.000]]}



# 2
{"formula": "ThH8Pd4Pt", "functional": "PBE", "state": "relaxed", "dft_energy_ev_per_atom": -4.4908, "lattice": [[2.881, 1.663, 4.910], [-2.881, 1.663, 4.910], [0.000, -3.327, 4.910]], "species": ["Th", "H", "H", "H", "H", "H", "H", "H", "H", "Pd", "Pd", "Pd", "Pd", "Pt"], "frac_coords": [[0.000, 0.000, 0.000], [0.148, 0.148, 0.148], [0.150, 0.598, 0.598], [0.157, 0.157, 0.520], [0.157, 0.520, 0.157], [0.520, 0.157, 0.157], [0.598, 0.150, 0.598], [0.598, 0.598, 0.150], [0.607, 0.607, 0.607], [0.373, 0.373, 0.861], [0.373, 0.861, 0.373], [0.735, 0.735, 0.735], [0.861, 0.373, 0.373], [0.371, 0.371, 0.371]]}



# 3
{"formula": "ThH6PdPt", "functional": "PBE", "state": "relaxed", "dft_energy_ev_per_atom": -4.5909, "lattice": [[4.777, 0.000, 0.000], [-2.389, 4.137, 0.000], [0.000, 0.000, 4.281]], "species": ["Th", "H", "H", "H", "H", "H", "H", "Pd", "Pt"], "frac_coords": [[0.000, 0.000, 0.000], [0.504, 0.007, 0.221], [0.504, 0.007, 0.779], [0.504, 0.496, 0.221], [0.504, 0.496, 0.779], [0.993, 0.496, 0.221], [0.993, 0.496, 0.779], [0.333, 0.667, 0.500], [0.667, 0.333, 0.500]]}



# 4
{"formula": "TiHPd2Pt", "functional": "PBE", "state": "relaxed", "dft_energy_ev_per_atom": -6.0014, "polymorph_energy_kj_per_mol_atoms": 0.0, "lattice": [[3.923, 0.000, 0.000], [0.000, 3.923, 0.000], [0.000, 0.000, 4.136]], "species": ["Ti", "H", "Pd", "Pd", "Pt"], "frac_coords": [[0.000, 0.000, 0.000], [0.000, 0.000, 0.500], [0.000, 0.500, 0.500], [0.500, 0.000, 0.500], [0.500, 0.500, 0.000]]}



# 5
{"formula": "TiHPd2Pt", "functional": "PBE", "state": "relaxed", "dft_energy_ev_per_atom": -5.9453, "polymorph_energy_kj_per_mol_atoms": 5.4, "lattice": [[3.989, 0.000, 0.000], [0.000, 3.989, 0.000], [0.000, 0.000, 4.043]], "species": ["Ti", "H", "Pd", "Pd", "Pt"], "frac_coords": [[0.000, 0.000, 0.000], [0.500, 0.500, 0.500], [0.000, 0.500, 0.500], [0.500, 0.000, 0.500], [0.500, 0.500, 0.000]]}



# 6
{"formula": "TiHPdPt2", "functional": "PBE", "state": "relaxed", "dft_energy_ev_per_atom": -6.1595, "polymorph_energy_kj_per_mol_atoms": 0.0, "lattice": [[3.962, 0.000, 0.000], [0.000, 3.962, 0.000], [0.000, 0.000, 4.095]], "species": ["Ti", "H", "Pd", "Pt", "Pt"], "frac_coords": [[0.000, 0.000, 0.000], [0.000, 0.000, 0.500], [0.500, 0.500, 0.000], [0.000, 0.500, 0.500], [0.500, 0.000, 0.500]]}



# 7
{"formula": "TiHPdPt2", "functional": "PBE", "state": "relaxed", "dft_energy_ev_per_atom": -6.1390, "polymorph_energy_kj_per_mol_atoms": 2.0, "lattice": [[4.008, 0.000, 0.000], [0.000, 4.008, 0.000], [0.000, 0.000, 4.028]], "species": ["Ti", "H", "Pd", "Pt", "Pt"], "frac_coords": [[0.000, 0.000, 0.000], [0.500, 0.500, 0.500], [0.500, 0.500, 0.000], [0.000, 0.500, 0.500], [0.500, 0.000, 0.500]]}



# 8
{"formula": "TlHPdPt2", "functional": "PBE", "state": "relaxed", "dft_energy_ev_per_atom": -4.7068, "polymorph_energy_kj_per_mol_atoms": 0.0, "lattice": [[4.079, 0.000, 0.000], [0.000, 4.079, 0.000], [0.000, 0.000, 4.276]], "species": ["Tl", "H", "Pd", "Pt", "Pt"], "frac_coords": [[0.000, 0.000, 0.000], [0.500, 0.500, 0.500], [0.500, 0.500, 0.000], [0.000, 0.500, 0.500], [0.500, 0.000, 0.500]]}



Please write out number 1 again, unchanged.
{"formula": "TeHPd2Pt", "functional": "PBE", "state": "relaxed", "dft_energy_ev_per_atom": -4.6335, "lattice": [[4.321, 0.000, 0.000], [0.000, 4.321, 0.000], [0.000, 0.000, 3.891]], "species": ["Te", "H", "Pd", "Pd", "Pt"], "frac_coords": [[0.000, 0.000, 0.000], [0.500, 0.500, 0.500], [0.000, 0.500, 0.500], [0.500, 0.000, 0.500], [0.500, 0.500, 0.000]]}



- Which formula does entry 8 have?
  TlHPdPt2